# PBE Li2HoAg2Hg2, optimized geometry
data_Li2HoAg2Hg2
_space_group_name_H-M_alt 'R -3 m'
_space_group_IT_number 166
_space_group_name_Hall '-R 3 2"'
_cell_length_a 4.7716
_cell_length_b 4.7716
_cell_length_c 21.5692
_cell_angle_alpha 90.00
_cell_angle_beta 90.00
_cell_angle_gamma 120.00
loop_
_atom_site_label
_atom_site_type_symbol
_atom_site_fract_x
_atom_site_fract_y
_atom_site_fract_z
_atom_site_occupancy
Li1 Li 0.0000 0.0000 0.1462 1
Ho1 Ho 0.0000 0.0000 0.0000 1
Ag1 Ag 0.0000 0.0000 0.4315 1
Hg1 Hg 0.0000 0.0000 0.2694 1
# - density (g/cm3) = 9.3
# - uncorrected energy (eV/atom) = -2.36
# - total magnetic moment (μB/f.u.) = 0.00
# - calculated formation energy (eV per atom) = -0.2577